## TmGeAuSe3 (PBE)

Data for a relaxed TmGeAuSe3 crystal.

Its energy above the most stable polymorph in this dataset is 0.75 eV/f.u.

The structure belongs to space group C2/m (No. 12); the cell edges are 18.3584, 3.8981 and 8.1891 Å and the angles 90.00°, 102.96° and 90.00°. The asymmetric unit holds Tm at (0.1622, 0.0000, 0.0923), Ge at (0.1233, 0.0000, 0.5781), Au at (0.0516, 0.5000, 0.2251), Se at (0.0000, 0.0000, 0.0000), Se at (0.0000, 0.5000, 0.5000), Se at (0.1752, 0.5000, 0.8431) and Se at (0.1917, 0.5000, 0.3513).

***

## KCu3Te4Ir (PBE)

Data for a relaxed KCu3Te4Ir crystal.

The final energy is -3.70 eV per atom.

The structure belongs to space group P-43m (No. 215); the cell edges are 6.4965, 6.4965 and 6.4965 Å and the angles 90.00°, 90.00° and 90.00°. The asymmetric unit holds K at (0.0000, 0.0000, 0.0000), Cu at (0.0000, 0.5000, 0.5000), Te at (0.2762, 0.2762, 0.2762) and Ir at (0.5000, 0.5000, 0.5000).

***

Asked for total magnetization across the records above, the calculation gives 0.00; 0.74 μB per formula unit in order.
Asked for theoretical density across the records above, the calculation gives 7.9; 5.6 g cm⁻³ in order.